Material: ErSn
Method: DFT, PBE
State: relaxed

The structure in POSCAR format:
```
ErSn
1.0
-0.1536 3.5624 2.9920
-2.6761 0.0421 -3.8082
-4.6261 -2.9028 3.2188
Er Sn
2 2
Cartesian
-2.9918 0.4899 -0.7368 Er
-4.4640 0.2119 3.1393 Er
0.0000 0.0000 0.0000 Sn
-2.3130 -1.4514 1.6094 Sn
```

Properties
* total moment: 0.0 μB per cell
* crystal system: hexagonal
* raw total energy: -4.869 eV/atom